[1]
Below is a geometry-optimized ZrCdIn structure, with properties calculated at the GGA-PBE level.

Cell: 3.140 3.153 14.082 Å, 96.32 96.29 90.06°
Element x y z (fractional)
Zr (0.133, 0.134, 0.264)
Zr (0.867, 0.866, 0.736)
Cd (0.289, 0.288, 0.577)
Cd (0.711, 0.712, 0.423)
In (0.445, 0.445, 0.896)
In (0.555, 0.555, 0.104)

Calculated values
Its volume is 68.9 Å³/f.u. The formation energy comes out at -0.148 eV per atom.



[2]
Below is a geometry-optimized Cr2RuAu structure, with properties calculated at the GGA-PBE level.

Cell: 2.810 3.637 5.614 Å, 90.00 90.00 90.00°
Element x y z (fractional)
Cr (0.000, 0.000, 0.000)
Cr (0.500, 0.500, 0.227)
Ru (0.000, 0.000, 0.425)
Au (0.500, 0.500, 0.728)

Calculated values
Its volume is 57.4 Å³/f.u. The formation energy comes out at 0.235 eV per atom.



[3]
Below is a geometry-optimized Cs2AlHg structure, with properties calculated at the GGA-PBE level.

Cell: 6.553 6.553 6.553 Å, 60.00 60.00 60.00°
Element x y z (fractional)
Cs (0.250, 0.250, 0.250)
Cs (0.750, 0.750, 0.750)
Al (0.000, 0.000, 0.000)
Hg (0.500, 0.500, 0.500)

Calculated values
Its volume is 199.0 Å³/f.u. Its distance to the lowest polymorph of the same formula is 0.0000 eV/atom. The formation energy comes out at 0.251 eV per atom.



[4]
Below is a geometry-optimized PrY6Sc2 structure, with properties calculated at the GGA-PBE level.

Cell: 9.568 9.568 3.531 Å, 90.00 90.00 120.00°
Element x y z (fractional)
Pr (0.000, 0.000, 0.000)
Y (0.000, 0.372, 0.000)
Y (0.000, 0.693, 0.500)
Y (0.307, 0.307, 0.500)
Y (0.372, 0.000, 0.000)
Y (0.628, 0.628, 0.000)
Y (0.693, 0.000, 0.500)
Sc (0.333, 0.667, 0.500)
Sc (0.667, 0.333, 0.500)

Calculated values
Its volume is 279.9 Å³/f.u. Its distance to the lowest polymorph of the same formula is 0.0000 eV/atom. The formation energy comes out at 0.054 eV per atom.



[5]
Below is a geometry-optimized VNiGe structure, with properties calculated at the GGA-PBE level.

Cell: 4.533 4.533 5.905 Å, 108.85 108.85 42.85°
Element x y z (fractional)
V (0.160, 0.160, 0.075)
V (0.840, 0.840, 0.925)
Ni (0.170, 0.170, 0.595)
Ni (0.830, 0.830, 0.405)
Ge (0.494, 0.494, 0.728)
Ge (0.506, 0.506, 0.272)

Calculated values
Its volume is 38.7 Å³/f.u. The formation energy comes out at -0.204 eV per atom.



[6]
Below is a geometry-optimized CeEr2Cd2In2 structure, with properties calculated at the GGA-PBE level.

Cell: 9.195 9.195 9.195 Å, 31.51 31.51 31.51°
Element x y z (fractional)
Ce (0.000, 0.000, 0.000)
Er (0.131, 0.131, 0.131)
Er (0.869, 0.869, 0.869)
Cd (0.417, 0.417, 0.417)
Cd (0.583, 0.583, 0.583)
In (0.262, 0.262, 0.262)
In (0.738, 0.738, 0.738)

Calculated values
Its volume is 188.6 Å³/f.u. The formation energy comes out at -0.208 eV per atom.



[7]
Below is a geometry-optimized Nd3In2BRh3 structure, with properties calculated at the GGA-PBE level.

Cell: 7.734 7.734 3.722 Å, 90.00 90.00 120.00°
Element x y z (fractional)
Nd (0.000, 0.351, 0.000)
Nd (0.351, 0.000, 0.000)
Nd (0.649, 0.649, 0.000)
In (0.333, 0.667, 0.500)
In (0.667, 0.333, 0.500)
B (0.000, 0.000, 0.000)
Rh (0.000, 0.795, 0.500)
Rh (0.205, 0.205, 0.500)
Rh (0.795, 0.000, 0.500)

Calculated values
Its volume is 192.8 Å³/f.u. The formation energy comes out at -0.401 eV per atom.



[8]
Below is a geometry-optimized FeCuAg2 structure, with properties calculated at the GGA-PBE level.

Cell: 4.421 4.421 4.421 Å, 60.00 60.00 60.00°
Element x y z (fractional)
Fe (0.000, 0.000, 0.000)
Cu (0.250, 0.250, 0.250)
Ag (0.500, 0.500, 0.500)
Ag (0.750, 0.750, 0.750)

Calculated values
Its volume is 61.1 Å³/f.u. Its distance to the lowest polymorph of the same formula is 0.1522 eV/atom. The formation energy comes out at 0.367 eV per atom.



no.,magnetization (μB/atom)
1,0.000
2,0.104
3,0.572
4,0.001
5,0.000
6,0.193
7,0.000
8,0.713